The following is a DFT calculation (PBE with a Hubbard U) of an optimized crystal structure of KNiSbO4.

a = 6.487 Å, b = 6.487 Å, c = 5.287 Å
α = 92.28°, β = 92.28°, γ = 28.06°
Fractional positions:
K (0.000, 0.000, 0.000)
Ni (0.749, 0.749, 0.910)
Sb (0.252, 0.252, 0.414)
O (0.170, 0.170, 0.723)
O (0.331, 0.331, 0.100)
O (0.664, 0.664, 0.247)
O (0.838, 0.838, 0.575)

## Properties
N(E_F) = 0.00 states/eV per cell
crystal system = monoclinic
raw total energy = -5.40 eV per atom
SG = Cm (8)